[1]
A relaxed structure of SrCdPCl2. Source: Alexandria, functional PBE.

Cell and atoms, written as CIF:
```
data_SrCdPCl2
_cell_length_a 5.2546
_cell_length_b 5.2546
_cell_length_c 5.1395
_cell_angle_alpha 90.00
_cell_angle_beta 90.00
_cell_angle_gamma 90.00
_space_group_name_H-M_alt 'P 1'
_space_group_IT_number 1
_space_group_name_Hall 'P 1'
loop_
_atom_site_label
_atom_site_type_symbol
_atom_site_fract_x
_atom_site_fract_y
_atom_site_fract_z
Sr1 Sr 0.5000 0.5000 0.5000
Cl1 Cl 0.0000 0.5000 0.0000
Cl2 Cl 0.5000 0.0000 0.0000
P1 P 0.0000 0.0000 0.5000
Cd1 Cd 0.0000 0.0000 0.0000
```

Values from the calculation:
energy relative to the lowest polymorph listed for this composition = 0 meV/atom
symmetry = P4/mmm
total energy = -3.099 eV per atom
E_form (uncorrected) = -0.76 eV/atom

=====

[2]
A relaxed structure of AcErGa2Pd5. Source: Alexandria, functional PBE.

Cell and atoms, written as CIF:
```
data_AcErGa2Pd5
_cell_length_a 4.3288
_cell_length_b 4.3288
_cell_length_c 9.2915
_cell_angle_alpha 90.00
_cell_angle_beta 90.00
_cell_angle_gamma 90.00
_space_group_name_H-M_alt 'P 1'
_space_group_IT_number 1
_space_group_name_Hall 'P 1'
loop_
_atom_site_label
_atom_site_type_symbol
_atom_site_fract_x
_atom_site_fract_y
_atom_site_fract_z
Ac1 Ac 0.0000 0.0000 0.5000
Er1 Er 0.0000 0.0000 0.0000
Ga1 Ga 0.5000 0.5000 0.1319
Ga2 Ga 0.5000 0.5000 0.8681
Pd1 Pd 0.0000 0.5000 0.2634
Pd2 Pd 0.5000 0.0000 0.2634
Pd3 Pd 0.0000 0.5000 0.7366
Pd4 Pd 0.5000 0.0000 0.7366
Pd5 Pd 0.5000 0.5000 0.5000
```

Values from the calculation:
symmetry = P4/mmm
E_form = -0.747 eV per atom
total energy = -5.268 eV per atom

=====

[3]
A relaxed structure of Mg6Tl3Pt. Source: Alexandria, functional PBE.

Cell and atoms, written as CIF:
```
data_Mg6Tl3Pt
_cell_length_a 4.7014
_cell_length_b 8.7461
_cell_length_c 11.2975
_cell_angle_alpha 90.00
_cell_angle_beta 90.00
_cell_angle_gamma 90.00
_space_group_name_H-M_alt 'P 1'
_space_group_IT_number 1
_space_group_name_Hall 'P 1'
loop_
_atom_site_label
_atom_site_type_symbol
_atom_site_fract_x
_atom_site_fract_y
_atom_site_fract_z
Mg1 Mg 0.5000 0.1492 0.9391
Mg2 Mg 0.5000 0.2161 0.6038
Mg3 Mg 0.5000 0.4681 0.2678
Mg4 Mg 0.5000 0.5319 0.7322
Mg5 Mg 0.5000 0.7839 0.3962
Mg6 Mg 0.5000 0.8508 0.0609
Mg7 Mg 0.0000 0.3508 0.4391
Mg8 Mg 0.0000 0.2839 0.1038
Mg9 Mg 0.0000 0.0319 0.7678
Mg10 Mg 0.0000 0.9681 0.2322
Mg11 Mg 0.0000 0.7161 0.8962
Mg12 Mg 0.0000 0.6492 0.5609
Tl1 Tl 0.5000 0.8553 0.6991
Tl2 Tl 0.5000 0.5000 0.0000
Tl3 Tl 0.5000 0.1447 0.3009
Tl4 Tl 0.0000 0.6447 0.1991
Tl5 Tl 0.0000 0.0000 0.5000
Tl6 Tl 0.0000 0.3553 0.8009
Pt1 Pt 0.5000 0.5000 0.5000
Pt2 Pt 0.0000 0.0000 0.0000
```

Values from the calculation:
symmetry = Pnnm
E_form = -0.210 eV per atom
total energy = -2.481 eV per atom